This record from the Alexandria database describes a geometry-optimized MnSe3F structure. The functional is GGA+U.

Cell: 4.6771 4.6771 4.6771 Å, 90.00 90.00 90.00°
Positions (direct):
1 Mn 0.0000 0.0000 0.0000
2 Se 0.0000 0.5000 0.5000
3 Se 0.5000 0.0000 0.5000
4 Se 0.5000 0.5000 0.0000
5 F 0.5000 0.5000 0.5000

Output
Spin magnetization ... 1.00 μB per atom
Total DFT energy (no corrections) ... -3.710 eV/atom
Theoretical density ... 5.04 Mg/m³
V ... 102.3 Å³/cell
D(E_F) ... 2.49 states/eV/f.u.